This record from the Alexandria database describes crystalline Li2LaBePt at its relaxed geometry. The functional is PBE-GGA.

The structure in POSCAR format:
```
Li2LaBePt
1.0
4.485 0.000 0.000
0.000 4.485 0.000
0.000 0.000 4.498
Li La Be Pt
2 1 1 1
direct
0.000 0.500 0.000
0.500 0.000 0.000
0.000 0.000 0.500
0.500 0.500 0.000
0.500 0.500 0.500
```

**Total moment**: 0.000 μB/atom
**ΔH_f (0 K)**: -137 kJ/mol of formula units
**DFT total energy**: -3.9884 eV per atom
**Space-group type**: No. 123